(1)
The following is a PBE-GGA calculation of a relaxed structure of LiI2Br, from the Alexandria database. Values from VASP.

Quantum ESPRESSO input file:
```
&SYSTEM
  ibrav = 0, nat = 8, ntyp = 3
/
ATOMIC_SPECIES
Li 6.94 Li.upf
I 126.90 I.upf
Br 79.90 Br.upf
CELL_PARAMETERS angstrom
7.367 0.000 0.000
3.080 6.807 0.000
2.038 0.496 8.494
ATOMIC_POSITIONS crystal
Li 0.000 0.000 0.000
Li 0.262 0.354 0.988
I 0.108 0.392 0.452
I 0.205 0.553 0.681
I 0.634 0.018 0.921
I 0.862 0.199 0.686
Br 0.006 0.247 0.149
Br 0.296 0.681 0.950
```

DOS at the Fermi energy (states/eV per cell): 0.00
Energy above the most stable polymorph in this dataset (meV per atom): 41
Formation energy from raw total energies (eV per atom): -0.665
Crystal system: triclinic
Size of the total moment (μB/atom): 0.000

=====

(2)
The following is a PBE-GGA calculation of a relaxed structure of LiI2Br, from the Alexandria database. Values from VASP.

Quantum ESPRESSO input file:
```
&SYSTEM
  ibrav = 0, nat = 8, ntyp = 3
/
ATOMIC_SPECIES
Li 6.94 Li.upf
I 126.90 I.upf
Br 79.90 Br.upf
CELL_PARAMETERS angstrom
4.442 0.000 0.000
2.209 8.421 0.000
1.717 3.069 10.273
ATOMIC_POSITIONS crystal
Li 0.000 0.000 0.000
Li 0.287 0.309 0.146
I 0.096 0.664 0.014
I 0.367 0.723 0.747
I 0.634 0.809 0.470
I 0.684 0.532 0.377
Br 0.436 0.130 0.996
Br 0.762 0.259 0.274
```

Energy above the most stable polymorph in this dataset (meV per atom): 13
Formation energy from raw total energies (eV per atom): -0.694
Crystal system: triclinic
Size of the total moment (μB/atom): 0.000

=====

(3)
The following is a PBE-GGA calculation of a relaxed structure of LiIBr3, from the Alexandria database. Values from VASP.

Quantum ESPRESSO input file:
```
&SYSTEM
  ibrav = 0, nat = 5, ntyp = 3
/
ATOMIC_SPECIES
Li 6.94 Li.upf
I 126.90 I.upf
Br 79.90 Br.upf
CELL_PARAMETERS angstrom
5.900 0.000 0.000
0.000 5.900 0.000
0.000 0.000 5.900
ATOMIC_POSITIONS crystal
Li 0.000 0.000 0.000
I 0.500 0.500 0.500
Br 0.000 0.500 0.500
Br 0.500 0.000 0.500
Br 0.500 0.500 0.000
```

DOS at the Fermi energy (states/eV per cell): 1.25
Energy above the most stable polymorph in this dataset (meV per atom): 326
Formation energy from raw total energies (eV per atom): -0.233
Crystal system: cubic
Size of the total moment (μB/atom): 0.000

=====

(4)
The following is a PBE-GGA calculation of a relaxed structure of Li6I5Br, from the Alexandria database. Values from VASP.

Quantum ESPRESSO input file:
```
&SYSTEM
  ibrav = 0, nat = 12, ntyp = 3
/
ATOMIC_SPECIES
Li 6.94 Li.upf
I 126.90 I.upf
Br 79.90 Br.upf
CELL_PARAMETERS angstrom
3.635 -6.310 0.000
3.635 6.310 0.000
-2.429 0.000 6.865
ATOMIC_POSITIONS crystal
Li 0.081 0.397 0.743
Li 0.236 0.236 0.257
Li 0.397 0.081 0.743
Li 0.603 0.919 0.257
Li 0.764 0.764 0.743
Li 0.919 0.603 0.257
I 0.166 0.834 0.000
I 0.333 0.667 0.500
I 0.500 0.500 0.000
I 0.667 0.333 0.500
I 0.834 0.166 0.000
Br 0.000 0.000 0.500
```

DOS at the Fermi energy (states/eV per cell): 0.00
Formation energy from raw total energies (eV per atom): -1.230
Crystal system: monoclinic
Size of the total moment (μB/atom): 0.000

=====

(5)
The following is a PBE-GGA calculation of a relaxed structure of Li3I2Br, from the Alexandria database. Values from VASP.

Quantum ESPRESSO input file:
```
&SYSTEM
  ibrav = 0, nat = 6, ntyp = 3
/
ATOMIC_SPECIES
Li 6.94 Li.upf
I 126.90 I.upf
Br 79.90 Br.upf
CELL_PARAMETERS angstrom
-2.206 6.666 3.133
2.206 -6.666 3.133
2.206 6.666 -3.133
ATOMIC_POSITIONS crystal
Li 0.000 0.000 0.000
Li 0.299 0.956 0.343
Li 0.612 0.956 0.657
I 0.560 0.724 0.835
I 0.889 0.724 0.165
Br 0.220 0.720 0.500
```

DOS at the Fermi energy (states/eV per cell): 0.00
Formation energy from raw total energies (eV per atom): -1.320
Crystal system: orthorhombic
Size of the total moment (μB/atom): 0.000

=====

(6)
The following is a PBE-GGA calculation of a relaxed structure of LiI2Br, from the Alexandria database. Values from VASP.

Quantum ESPRESSO input file:
```
&SYSTEM
  ibrav = 0, nat = 4, ntyp = 3
/
ATOMIC_SPECIES
Li 6.94 Li.upf
I 126.90 I.upf
Br 79.90 Br.upf
CELL_PARAMETERS angstrom
4.452 0.000 0.000
1.435 5.601 0.000
0.501 0.493 6.366
ATOMIC_POSITIONS crystal
Li 0.000 0.000 0.000
I 0.090 0.609 0.304
I 0.755 0.912 0.605
Br 0.431 0.216 0.956
```

Energy above the most stable polymorph in this dataset (meV per atom): 31
Formation energy from raw total energies (eV per atom): -0.676
Crystal system: triclinic
Size of the total moment (μB/atom): 0.000